1.
This record from the Alexandria database describes crystalline Na2NpPaO8 at its relaxed geometry. The functional is PBE.

Output
Total moment: 0.00 μB/cell
Electronic total energy: -7.7104 eV/atom
Raw formation energy: -2315 meV/atom

a = 5.114 Å, b = 5.130 Å, c = 7.034 Å
α = 90.00°, β = 90.00°, γ = 92.77°
Atoms (fractional coordinates):
1 Na 0.500 0.500 0.754
2 Na 0.500 0.500 0.246
3 O 0.827 0.174 0.236
4 O 0.173 0.826 0.236
5 O 0.727 0.729 0.500
6 O 0.827 0.174 0.764
7 O 0.737 0.738 0.000
8 O 0.263 0.262 0.000
9 O 0.173 0.826 0.764
10 O 0.273 0.271 0.500
11 Pa 0.000 0.000 0.500
12 Np 0.000 0.000 0.000

=====

2.
This record from the Alexandria database describes crystalline NaNpPaO6 at its relaxed geometry. The functional is PBE.

Output
Total moment: 2.00 μB/cell
Electronic total energy: -8.8369 eV/atom
Raw formation energy: -2892 meV/atom

a = 5.922 Å, b = 5.922 Å, c = 9.835 Å
α = 90.00°, β = 90.00°, γ = 120.00°
Site moments in Bohr magnetons follow the coordinates.
Atoms (fractional coordinates):
1 Np 0.667 0.333 0.250  1.20
2 Np 0.333 0.667 0.750  1.20
3 O 0.620 0.634 0.645  -0.03
4 O 0.380 0.366 0.355  -0.03
5 O 0.620 0.986 0.855  -0.03
6 O 0.986 0.366 0.145  -0.03
7 O 0.634 0.014 0.355  -0.03
8 O 0.634 0.620 0.145  -0.03
9 O 0.014 0.380 0.645  -0.03
10 O 0.366 0.380 0.855  -0.03
11 O 0.366 0.986 0.645  -0.03
12 O 0.380 0.014 0.145  -0.03
13 O 0.986 0.620 0.355  -0.03
14 O 0.014 0.634 0.855  -0.03
15 Na 0.000 0.000 0.000  0.00
16 Na 0.000 0.000 0.500  0.00
17 Pa 0.667 0.333 0.750  -0.02
18 Pa 0.333 0.667 0.250  -0.02

=====

3.
This record from the Alexandria database describes crystalline NaNp2PaO8 at its relaxed geometry. The functional is PBE.

Output
Total moment: 4.00 μB/cell
Electronic total energy: -9.3403 eV/atom
Raw formation energy: -2977 meV/atom

a = 5.342 Å, b = 5.342 Å, c = 6.509 Å
α = 114.23°, β = 114.23°, γ = 90.00°
Site moments in Bohr magnetons follow the coordinates.
Atoms (fractional coordinates):
1 O 0.143 0.119 0.759  -0.07
2 O 0.360 0.857 0.241  -0.07
3 O 0.616 0.640 0.759  -0.07
4 O 0.360 0.384 0.241  -0.07
5 O 0.881 0.384 0.241  -0.07
6 O 0.616 0.119 0.759  -0.07
7 O 0.881 0.857 0.241  -0.07
8 O 0.143 0.640 0.759  -0.07
9 Pa 0.000 0.000 0.000  0.05
10 Np 0.250 0.750 0.500  2.23
11 Np 0.500 0.500 0.000  2.31
12 Na 0.750 0.250 0.500  0.00

=====

4.
This record from the Alexandria database describes crystalline NaNpPa2O8 at its relaxed geometry. The functional is PBE.

Output
Total moment: 2.00 μB/cell
Electronic total energy: -9.2406 eV/atom
Raw formation energy: -3164 meV/atom

a = 5.135 Å, b = 5.138 Å, c = 7.069 Å
α = 90.00°, β = 90.00°, γ = 88.90°
Site moments in Bohr magnetons follow the coordinates.
Atoms (fractional coordinates):
1 O 0.803 0.198 0.782  -0.05
2 O 0.673 0.673 0.500  0.00
3 O 0.327 0.327 0.500  0.00
4 O 0.686 0.686 0.000  -0.02
5 O 0.314 0.314 0.000  -0.02
6 O 0.197 0.802 0.782  -0.05
7 O 0.803 0.198 0.218  -0.05
8 O 0.197 0.802 0.218  -0.05
9 Pa 0.500 0.500 0.747  0.00
10 Pa 0.500 0.500 0.253  0.00
11 Np 0.000 0.000 0.000  2.20
12 Na 0.000 0.000 0.500  0.00

=====

5.
This record from the Alexandria database describes crystalline NaNpPb2O8 at its relaxed geometry. The functional is PBE.

Output
Total moment: 0.04 μB/cell
Electronic total energy: -6.6731 eV/atom
Raw formation energy: -1561 meV/atom

a = 5.241 Å, b = 5.227 Å, c = 6.641 Å
α = 90.00°, β = 90.00°, γ = 89.59°
Atoms (fractional coordinates):
1 Np 0.000 0.000 0.000
2 O 0.687 0.690 0.500
3 O 0.313 0.310 0.500
4 O 0.819 0.184 0.208
5 O 0.819 0.184 0.792
6 O 0.181 0.816 0.208
7 O 0.181 0.816 0.792
8 O 0.311 0.307 0.000
9 O 0.689 0.693 0.000
10 Pb 0.500 0.500 0.255
11 Pb 0.500 0.500 0.745
12 Na 0.000 0.000 0.500

=====

6.
This record from the Alexandria database describes crystalline Na2NpPb2O6 at its relaxed geometry. The functional is PBE.

Output
Total moment: 1.00 μB/cell
Electronic total energy: -6.6982 eV/atom
Raw formation energy: -1903 meV/atom

a = 5.906 Å, b = 5.906 Å, c = 6.220 Å
α = 101.56°, β = 101.56°, γ = 114.27°
Site moments in Bohr magnetons follow the coordinates.
Atoms (fractional coordinates):
1 Pb 0.822 0.178 0.000  0.00
2 Pb 0.178 0.822 0.000  0.00
3 O 0.956 0.657 0.295  -0.04
4 O 0.343 0.044 0.705  -0.04
5 O 0.805 0.805 0.724  -0.03
6 O 0.657 0.956 0.295  -0.04
7 O 0.044 0.343 0.705  -0.04
8 O 0.195 0.195 0.276  -0.03
9 Na 0.654 0.346 0.500  0.00
10 Na 0.346 0.654 0.500  0.00
11 Np 0.000 0.000 0.500  1.22

=====

7.
This record from the Alexandria database describes crystalline NaNpPbO6 at its relaxed geometry. The functional is PBE.

Output
Total moment: 0.00 μB/cell
Electronic total energy: -7.0205 eV/atom
Raw formation energy: -1719 meV/atom

a = 5.636 Å, b = 5.636 Å, c = 10.308 Å
α = 90.00°, β = 90.00°, γ = 120.00°
Atoms (fractional coordinates):
1 Np 0.667 0.333 0.250
2 Np 0.333 0.667 0.750
3 O 0.375 0.351 0.360
4 O 0.977 0.351 0.140
5 O 0.649 0.625 0.140
6 O 0.375 0.023 0.140
7 O 0.977 0.625 0.360
8 O 0.649 0.023 0.360
9 O 0.625 0.977 0.860
10 O 0.625 0.649 0.640
11 O 0.023 0.649 0.860
12 O 0.351 0.375 0.860
13 O 0.351 0.977 0.640
14 O 0.023 0.375 0.640
15 Pb 0.667 0.333 0.750
16 Pb 0.333 0.667 0.250
17 Na 0.000 0.000 0.500
18 Na 0.000 0.000 0.000

=====

8.
This record from the Alexandria database describes crystalline NaNp2PbO8 at its relaxed geometry. The functional is PBE.

Output
Total moment: 1.02 μB/cell
Electronic total energy: -7.8822 eV/atom
Raw formation energy: -2001 meV/atom

a = 5.903 Å, b = 5.903 Å, c = 5.900 Å
α = 90.00°, β = 90.00°, γ = 120.00°
Site moments in Bohr magnetons follow the coordinates.
Atoms (fractional coordinates):
1 O 0.375 0.319 0.847  -0.04
2 O 0.319 0.944 0.153  -0.04
3 O 0.625 0.681 0.153  -0.04
4 O 0.056 0.375 0.153  -0.04
5 O 0.333 0.667 0.614  -0.07
6 O 0.667 0.333 0.386  -0.07
7 O 0.681 0.056 0.847  -0.04
8 O 0.944 0.625 0.847  -0.04
9 Pb 0.000 0.000 0.500  0.01
10 Np 0.667 0.333 0.069  0.71
11 Np 0.333 0.667 0.931  0.71
12 Na 0.000 0.000 0.000  0.00